# GeTeH2

GeTeH2 after structural relaxation (PBE, the Alexandria database).

Cell lengths 5.6259, 5.6259, 7.9235 Å; angles 90.00, 90.00, 90.00 degrees
Space group I-42d (No. 122)
Inequivalent atoms, fractional coordinates:
Ge 0.0000 0.0000 0.0000 [4 per cell]
Te 0.0000 0.0000 0.5000 [4 per cell]
H 0.0014 0.2500 0.1250 [8 per cell]

## Properties
As for the crystal system: tetragonal. For the mass density, the calculation gives 5.4 Mg/m³. For the uncorrected energy, the calculation gives -51.735 eV per cell.